Material: Os2C
Method: DFT, PBE
State: optimized geometry

magnetization	0.000	Bohr magnetons per cell
energy above the most stable polymorph in this dataset	738.0	meV per atom
ΔE_f	1.242	eV per atom

Cell and atoms, written as POSCAR:
```
Os2C
1.0
4.193 -0.294 -1.614
-0.021 -1.265 4.321
-2.722 -2.690 -2.373
C Os
2 4
Direct
0.750 0.750 0.000
0.250 0.250 0.000
0.306 0.806 0.112
0.806 0.694 0.500
0.194 0.306 0.500
0.694 0.194 0.888
```